Entry 1:
# LaReRh2, optimized geometry, DFT PBE
# E = -31.538 eV/f.u.
# ρ = 12.34 g/cm3
# V = 71.5 Å³/f.u.
# Formation enthalpy at 0 K = 135.2 meV/atom
data_LaReRh2
_cell_length_a 4.933
_cell_length_b 4.933
_cell_length_c 2.937
_cell_angle_alpha 90.00
_cell_angle_beta 90.00
_cell_angle_gamma 90.00
_space_group_name_H-M_alt 'P 1'
_space_group_IT_number 1
loop_
_space_group_symop_operation_xyz
'x,y,z'
loop_
_atom_site_label
_atom_site_type_symbol
_atom_site_fract_x
_atom_site_fract_y
_atom_site_fract_z
La1 La 0.000 0.000 0.000
Re1 Re 0.500 0.500 0.000
Rh1 Rh 0.000 0.500 0.500
Rh2 Rh 0.500 0.000 0.500



Entry 2:
# LaReRh2, optimized geometry, DFT PBE
# E = -31.366 eV/f.u.
# ρ = 11.47 g/cm3
# V = 76.9 Å³/f.u.
# Formation enthalpy at 0 K = 178.1 meV/atom
data_LaReRh2
_cell_length_a 5.067
_cell_length_b 5.067
_cell_length_c 5.067
_cell_angle_alpha 134.71
_cell_angle_beta 121.18
_cell_angle_gamma 77.21
_space_group_name_H-M_alt 'P 1'
_space_group_IT_number 1
loop_
_space_group_symop_operation_xyz
'x,y,z'
loop_
_atom_site_label
_atom_site_type_symbol
_atom_site_fract_x
_atom_site_fract_y
_atom_site_fract_z
La1 La 0.000 0.000 0.000
Re1 Re 0.500 0.500 0.000
Rh1 Rh 0.289 0.789 0.500
Rh2 Rh 0.711 0.211 0.500



Entry 3:
# LaReRh2, optimized geometry, DFT PBE
# E = -30.802 eV/f.u.
# ρ = 12.36 g/cm3
# V = 71.3 Å³/f.u.
# Formation enthalpy at 0 K = 319.1 meV/atom
data_LaReRh2
_cell_length_a 4.655
_cell_length_b 4.655
_cell_length_c 4.655
_cell_angle_alpha 60.00
_cell_angle_beta 60.00
_cell_angle_gamma 60.00
_space_group_name_H-M_alt 'P 1'
_space_group_IT_number 1
loop_
_space_group_symop_operation_xyz
'x,y,z'
loop_
_atom_site_label
_atom_site_type_symbol
_atom_site_fract_x
_atom_site_fract_y
_atom_site_fract_z
La1 La 0.000 0.000 0.000
Re1 Re 0.750 0.750 0.750
Rh1 Rh 0.250 0.250 0.250
Rh2 Rh 0.500 0.500 0.500



The highest V belongs to which entry? number 2



Among the records above, which one has the highest ρ? number 3



V of number 3 (LaReRh2)? 71.3 Å³/f.u.



V of number 3 (LaReRh2)? 71.3 Å³/f.u.